1.
# Hg2PdS

A relaxed structure of Hg2PdS (PBE-GGA, Alexandria via LeMat-Bulk).

Cell: 7.791 7.791 6.157 Å, 50.75 50.75 90.00°
Fractional positions:
S 0.500 0.500 0.000
S 0.250 0.750 0.500
Hg 0.611 0.125 0.250
Hg 0.139 0.625 0.250
Hg 0.375 0.389 0.750
Hg 0.875 0.861 0.750
Pd 0.000 0.000 0.000
Pd 0.750 0.250 0.500

## Properties
ρ in g/cm3: 10.74
Total magnetic moment in Bohr magnetons per cell: 0.00
Energy relative to the elements, uncorrected in eV/atom: 0.18



2.
# CaTc2Pb

A relaxed structure of CaTc2Pb (PBE-GGA, Alexandria via LeMat-Bulk).

Cell: 4.903 3.154 5.574 Å, 83.65 90.00 90.00°
Fractional positions:
Pb 0.500 0.750 0.750
Ca 0.500 0.250 0.250
Tc 0.000 0.829 0.050
Tc 0.000 0.671 0.450

## Properties
ρ in g/cm3: 8.59
Formation enthalpy at 0 K in eV per atom: 0.5467
Total magnetic moment in Bohr magnetons per cell: 0.00



3.
# BeAlO3

A relaxed structure of BeAlO3 (PBE-GGA, Alexandria via LeMat-Bulk).

Cell: 3.576 3.576 3.576 Å, 90.00 90.00 90.00°
Fractional positions:
Be 0.500 0.500 0.500
Al 0.000 0.000 0.000
O 0.000 0.500 0.000
O 0.000 0.000 0.500
O 0.500 0.000 0.000

## Properties
ρ in g/cm3: 3.05
Total magnetic moment in Bohr magnetons per cell: 0.00
Energy relative to the elements, uncorrected in eV/atom: -1.27



4.
# CuHgF

A relaxed structure of CuHgF (PBE-GGA, Alexandria via LeMat-Bulk).

Cell: 2.933 2.933 5.778 Å, 104.70 104.70 90.00°
Fractional positions:
Hg 0.631 0.631 0.262
Cu 0.315 0.315 0.629
F 0.905 0.905 0.809

## Properties
ρ in g/cm3: 10.13
Total magnetic moment in Bohr magnetons per cell: 0.00
Energy above the most stable polymorph in this dataset in meV/atom: 71.1
Energy relative to the elements, uncorrected in eV/atom: -0.58



5.
# Rb2Cd2Hg3

A relaxed structure of Rb2Cd2Hg3 (PBE-GGA, Alexandria via LeMat-Bulk).

Cell: 4.929 6.926 8.567 Å, 116.19 90.00 110.84°
Fractional positions:
Rb 0.860 0.720 0.238
Rb 0.140 0.280 0.762
Cd 0.866 0.732 0.784
Cd 0.134 0.268 0.216
Hg 0.500 0.000 0.000
Hg 0.627 0.254 0.432
Hg 0.373 0.746 0.568

## Properties
ρ in g/cm3: 6.88
Formation enthalpy at 0 K in eV per atom: -0.1419
Total magnetic moment in Bohr magnetons per cell: 0.00



6.
# ThCoS

A relaxed structure of ThCoS (PBE-GGA, Alexandria via LeMat-Bulk).

Cell: 3.854 3.974 3.974 Å, 120.00 90.00 90.00°
Fractional positions:
S 0.165 0.000 0.000
Co 0.169 0.333 0.667
Th 0.666 0.667 0.333

## Properties
ρ in g/cm3: 10.18
Total magnetic moment in Bohr magnetons per cell: 0.00
Energy above the most stable polymorph in this dataset in meV/atom: 0.0
Energy relative to the elements, uncorrected in eV/atom: -1.11



7.
# In2ReSbRu

A relaxed structure of In2ReSbRu (PBE-GGA, Alexandria via LeMat-Bulk).

Cell: 5.134 4.947 5.134 Å, 90.00 90.00 90.00°
Last column: magnetic moment on the atom in μB.
Fractional positions:
Re 0.500 0.500 0.500  3.30
In 0.000 0.000 0.500  0.00
In 0.500 0.000 0.000  0.01
Ru 0.000 0.000 0.000  -0.03
Sb 0.000 0.500 0.000  -0.04

## Properties
ρ in g/cm3: 8.13
Total magnetic moment in Bohr magnetons per cell: 3.77
Energy relative to the elements, uncorrected in eV/atom: 1.19



8.
# ThZnSb

A relaxed structure of ThZnSb (PBE-GGA, Alexandria via LeMat-Bulk).

Cell: 4.355 4.441 8.514 Å, 74.88 90.00 90.00°
Fractional positions:
Th 0.250 0.902 0.196
Th 0.750 0.098 0.804
Sb 0.250 0.250 0.499
Sb 0.750 0.750 0.501
Zn 0.250 0.542 0.916
Zn 0.750 0.458 0.084

## Properties
ρ in g/cm3: 8.76
Total magnetic moment in Bohr magnetons per cell: 0.00
Energy relative to the elements, uncorrected in eV/atom: -0.33



9.
# YTcP

A relaxed structure of YTcP (PBE-GGA, Alexandria via LeMat-Bulk).

Cell: 4.032 4.032 4.152 Å, 90.00 90.00 120.00°
Fractional positions:
Y 0.667 0.333 0.667
Tc 0.333 0.667 0.167
P 0.000 0.000 0.167

## Properties
ρ in g/cm3: 6.19
Formation enthalpy at 0 K in eV per atom: -0.6629
Total magnetic moment in Bohr magnetons per cell: 0.00
Energy above the most stable polymorph in this dataset in meV/atom: 0.0



10.
# Pm3AlPb2

A relaxed structure of Pm3AlPb2 (PBE-GGA, Alexandria via LeMat-Bulk).

Cell: 6.482 6.419 9.105 Å, 101.60 110.85 90.00°
Fractional positions:
Pm 0.639 0.250 0.000
Pm 0.361 0.750 0.000
Pm 0.281 0.097 0.331
Pm 0.949 0.403 0.669
Pm 0.051 0.597 0.331
Pm 0.719 0.903 0.669
Al 0.873 0.750 0.000
Al 0.127 0.250 0.000
Pb 0.548 0.562 0.322
Pb 0.774 0.062 0.322
Pb 0.226 0.938 0.678
Pb 0.452 0.438 0.678

## Properties
ρ in g/cm3: 8.42
Formation enthalpy at 0 K in eV per atom: -0.3974
Total magnetic moment in Bohr magnetons per cell: 0.00
Energy above the most stable polymorph in this dataset in meV/atom: 78.3



11.
# Rb2CaB

A relaxed structure of Rb2CaB (PBE-GGA, Alexandria via LeMat-Bulk).

Cell: 12.842 12.842 9.445 Å, 47.17 47.17 90.00°
Last column: magnetic moment on the atom in μB.
Fractional positions:
Ca 0.000 0.000 0.000  0.06
Ca 0.750 0.250 0.500  0.06
B 0.500 0.500 0.000  0.33
B 0.250 0.750 0.500  0.33
Rb 0.459 0.125 0.250  0.01
Rb 0.291 0.625 0.250  0.01
Rb 0.375 0.541 0.750  0.01
Rb 0.875 0.709 0.750  0.01

## Properties
ρ in g/cm3: 1.72
Formation enthalpy at 0 K in eV per atom: 0.8276
Total magnetic moment in Bohr magnetons per cell: 1.90



12.
# AcTb2Zr

A relaxed structure of AcTb2Zr (PBE-GGA, Alexandria via LeMat-Bulk).

Cell: 3.495 3.495 12.439 Å, 81.92 81.92 60.00°
Fractional positions:
Ac 0.500 0.500 0.500
Tb 0.084 0.084 0.749
Tb 0.916 0.916 0.251
Zr 0.000 0.000 0.000

## Properties
ρ in g/cm3: 8.13
Formation enthalpy at 0 K in eV per atom: 0.4278
Total magnetic moment in Bohr magnetons per cell: 0.00
Energy above the most stable polymorph in this dataset in meV/atom: 269.5



The lowest ρ belongs to which entry? Rb2CaB